The following is a GGA-PBE calculation of YTh4Sn4 after structural relaxation, from the Alexandria database.

a b c (Å): 6.338 9.867 9.867
angles (deg): 90.00 90.00 90.00
Positions (direct):
Y: 0.000 0.000 0.000
Y: 0.500 0.500 0.500
Th: 0.500 0.291 0.902
Th: 0.000 0.598 0.791
Th: 0.500 0.709 0.098
Th: 0.000 0.209 0.598
Th: 0.500 0.902 0.709
Th: 0.000 0.791 0.402
Th: 0.000 0.402 0.209
Th: 0.500 0.098 0.291
Sn: 0.500 0.798 0.407
Sn: 0.500 0.202 0.593
Sn: 0.000 0.907 0.702
Sn: 0.000 0.298 0.907
Sn: 0.000 0.702 0.093
Sn: 0.500 0.407 0.202
Sn: 0.500 0.593 0.798
Sn: 0.000 0.093 0.298

Properties
energy of formation from the pure elements: -2.82 eV per formula unit


The following is a GGA-PBE calculation of CaMgSb2 after structural relaxation, from the Alexandria database.

a b c (Å): 5.383 5.383 5.383
angles (deg): 60.00 60.00 60.00
Positions (direct):
Ca: 0.500 0.500 0.500
Mg: 0.750 0.750 0.750
Sb: 0.000 0.000 0.000
Sb: 0.250 0.250 0.250

Properties
ΔE_f (raw): -17 kJ per mole of atoms


The following is a GGA-PBE calculation of CeH6IrPd after structural relaxation, from the Alexandria database.

a b c (Å): 4.828 4.827 4.218
angles (deg): 90.00 90.00 60.00
Positions (direct):
Ce: 0.000 0.000 0.000
H: 0.024 0.486 0.229
H: 0.486 0.024 0.771
H: 0.489 0.486 0.771
H: 0.024 0.489 0.771
H: 0.486 0.489 0.229
H: 0.489 0.024 0.229
Ir: 0.333 0.333 0.500
Pd: 0.667 0.667 0.500

Properties
electronic total energy: -4.76 eV/atom


no.,calculated density (g cm⁻³),total moment (μB per cell)
1,8.03,0.00
2,4.64,0.00
3,8.68,0.48